Computed, not measured: a crystal of InTcRh2 relaxed with PBEsol at the SCAN level of DFT.

Cell and atoms, written as CIF:
```
data_InTcRh2
_chemical_formula_sum 'In1 Tc1 Rh2'
_cell_length_a 2.794
_cell_length_b 3.812
_cell_length_c 5.660
_cell_angle_alpha 90.00
_cell_angle_beta 90.00
_cell_angle_gamma 90.00
_space_group_name_H-M_alt 'P m m 2'
_space_group_IT_number 25
_space_group_name_Hall 'P 2 -2'
loop_
_atom_site_label
_atom_site_type_symbol
_atom_site_fract_x
_atom_site_fract_y
_atom_site_fract_z
In1 In 0.000 0.000 0.000
Tc1 Tc 0.500 0.500 0.701
Rh1 Rh 0.000 0.000 0.506
Rh2 Rh 0.500 0.500 0.241
```

Results
The value obtained for the density of states at the Fermi level is 4.24 states/eV/f.u. As for the theoretical density: 11534 kg/m3. Its formation energy is 11 meV per atom.